1.
Density functional theory data (GGA-PBE) for a geometry-optimized YAl8 structure.

extended XYZ file:
```
9
Lattice="6.187 -1.777 -1.603 -5.786 -2.276 2.314 -2.078 0.807 -6.248" Properties=species:S:1:pos:R:3 pbc="T T T"
Y 0.000 0.000 0.000
Al 2.337 -1.937 -0.344
Al -1.936 -2.116 1.054
Al -5.151 -0.962 -2.577
Al -1.207 -0.784 -3.790
Al 2.692 -0.635 -5.143
Al -0.469 -2.462 -1.748
Al -2.712 -0.507 -1.357
Al 1.418 -0.335 -2.708
```

Summary:
N(E_F) ... 4.17 states/eV/cell
Formation energy ... -97 meV per atom

---

2.
Density functional theory data (GGA-PBE) for a geometry-optimized Y7Al structure.

extended XYZ file:
```
8
Lattice="6.898 -1.103 -0.371 2.462 -6.488 -0.881 2.926 -1.834 -6.083" Properties=species:S:1:pos:R:3 pbc="T T T"
Y 4.680 -3.796 -0.626
Y 4.912 -1.469 -3.227
Y 3.449 -0.551 -0.186
Y 1.463 -0.917 -3.042
Y 1.231 -3.244 -0.441
Y 2.694 -4.161 -3.482
Y 6.143 -4.713 -3.668
Al 0.000 0.000 0.000
```

Summary:
N(E_F) ... 11.08 states/eV/cell
Formation energy ... -18 meV per atom

---

3.
Density functional theory data (GGA-PBE) for a geometry-optimized Y5Al4 structure.

extended XYZ file:
```
9
Lattice="4.505 0.000 0.933 2.025 5.359 1.566 0.340 -0.544 9.697" Properties=species:S:1:pos:R:3 pbc="T T T"
Y 1.046 0.714 6.291
Y 5.823 4.100 5.906
Y 5.029 3.134 9.740
Y 1.840 1.681 2.456
Y 0.000 0.000 0.000
Al 2.845 1.005 8.941
Al 4.024 3.810 3.255
Al 3.192 3.006 7.268
Al 3.677 1.809 4.928
```

Summary:
N(E_F) ... 8.07 states/eV/cell
Formation energy ... -379 meV per atom

---

4.
Density functional theory data (GGA-PBE) for a geometry-optimized Y4Al structure.

extended XYZ file:
```
5
Lattice="-7.304 -5.731 -0.035 -8.888 -0.584 2.621 7.240 4.265 -3.949" Properties=species:S:1:pos:R:3 pbc="T T T"
Y -4.080 -2.312 -1.345
Y -4.872 0.262 -0.018
Y -9.505 -3.707 1.518
Y -6.688 -2.608 1.068
Al 0.000 0.000 0.000
```

Summary:
N(E_F) ... 7.40 states/eV/cell
Formation energy ... 416 meV per atom

---

5.
Density functional theory data (GGA-PBE) for a geometry-optimized Y2Al3 structure.

extended XYZ file:
```
5
Lattice="2.467 -4.273 0.000 2.467 4.273 0.000 0.000 0.000 6.127" Properties=species:S:1:pos:R:3 pbc="T T T"
Y 2.467 -1.424 1.095
Y 2.467 1.424 5.032
Al 0.000 0.000 0.000
Al 2.467 -1.424 4.029
Al 2.467 1.424 2.098
```

Summary:
N(E_F) ... 2.19 states/eV/cell
Formation energy ... -39 meV per atom

---

6.
Density functional theory data (GGA-PBE) for a geometry-optimized Y4Al3 structure.

extended XYZ file:
```
7
Lattice="4.856 0.000 1.447 2.212 4.323 1.447 0.034 0.021 8.757" Properties=species:S:1:pos:R:3 pbc="T T T"
Y 4.386 2.683 3.022
Y 6.175 3.776 5.893
Y 0.927 0.567 5.759
Y 2.715 1.661 8.629
Al 1.787 1.093 2.875
Al 5.315 3.250 8.777
Al 0.000 0.000 0.000
```

Summary:
N(E_F) ... 6.52 states/eV/cell
Formation energy ... -275 meV per atom

---

7.
Density functional theory data (GGA-PBE) for a geometry-optimized Y3Al11 structure.

extended XYZ file:
```
14
Lattice="4.144 0.000 1.098 1.547 7.868 2.529 -0.010 0.019 8.408" Properties=species:S:1:pos:R:3 pbc="T T T"
Y 0.000 0.000 0.000
Y 3.323 2.483 4.195
Y 2.358 5.405 7.840
Al 0.769 3.944 5.469
Al 2.514 2.300 7.249
Al 3.167 5.588 4.786
Al 4.238 7.613 9.112
Al 1.443 0.275 2.923
Al 3.834 5.578 10.636
Al 1.847 2.309 1.399
Al 4.899 6.777 6.616
Al 0.782 1.110 5.419
Al 4.207 3.286 9.231
Al 1.475 4.602 2.804
```

Summary:
N(E_F) ... 4.21 states/eV/cell
Formation energy ... -342 meV per atom

---

8.
Density functional theory data (GGA-PBE) for a geometry-optimized Y5Al4 structure.

extended XYZ file:
```
18
Lattice="-3.545 5.782 -5.942 -3.421 -8.304 0.801 -4.108 2.129 4.522" Properties=species:S:1:pos:R:3 pbc="T T T"
Al 0.000 0.000 0.000
Al -2.054 1.064 2.261
Al -2.293 -2.540 1.427
Al -5.416 -1.057 -2.108
Al -2.339 2.672 -1.068
Al -5.236 -3.635 3.897
Al -5.658 0.663 1.490
Al -5.314 5.239 -0.351
Y -3.472 -5.402 1.703
Y -3.015 -0.188 -0.337
Y -3.560 4.664 -3.115
Y -4.057 -0.774 3.621
Y -8.059 -0.206 -0.281
Y -4.093 3.247 1.696
Y -3.504 1.087 -3.694
Y -5.516 -2.544 0.815
Y -3.462 -3.609 -1.446
Y -5.558 2.151 -1.433
```

Summary:
N(E_F) ... 15.35 states/eV/cell
Formation energy ... -350 meV per atom

---

9.
Density functional theory data (GGA-PBE) for a geometry-optimized Y8Al structure.

extended XYZ file:
```
9
Lattice="7.888 -0.002 0.000 -6.402 4.607 0.000 -0.743 -2.303 7.507" Properties=species:S:1:pos:R:3 pbc="T T T"
Al 0.000 0.000 0.000
Y -1.517 3.032 0.000
Y 3.002 1.574 0.000
Y -2.374 0.766 2.494
Y 0.743 2.303 2.374
Y 2.374 -0.766 2.494
Y 0.000 0.000 5.133
Y -4.771 1.539 5.013
Y 4.771 -1.539 5.013
```

Summary:
N(E_F) ... 14.63 states/eV/cell
Formation energy ... -29 meV per atom

---

10.
Density functional theory data (GGA-PBE) for a geometry-optimized Y5Al structure.

extended XYZ file:
```
6
Lattice="9.212 -0.018 0.000 -8.515 3.514 0.000 0.000 0.000 5.493" Properties=species:S:1:pos:R:3 pbc="T T T"
Al -8.477 3.506 0.000
Y -2.555 2.326 0.000
Y 3.134 1.193 0.000
Y -0.487 1.914 2.746
Y 5.252 0.771 2.746
Y -6.595 3.132 2.746
```

Summary:
N(E_F) ... 6.85 states/eV/cell
Formation energy ... -66 meV per atom

---

11.
Density functional theory data (GGA-PBE) for a geometry-optimized Y3Al structure.

extended XYZ file:
```
4
Lattice="-2.061 -0.748 -4.024 -0.485 -3.422 0.884 -6.461 -1.848 3.651" Properties=species:S:1:pos:R:3 pbc="T T T"
Y -6.341 -4.302 1.437
Y -3.473 -2.635 2.268
Y -2.666 -1.715 -0.925
Al 0.000 0.000 0.000
```

Summary:
N(E_F) ... 5.25 states/eV/cell
Formation energy ... -117 meV per atom

---

12.
Density functional theory data (GGA-PBE) for a geometry-optimized Y5Al3 structure.

extended XYZ file:
```
16
Lattice="-1.684 -6.556 5.722 1.217 -1.818 -8.589 6.312 -0.710 1.044" Properties=species:S:1:pos:R:3 pbc="T T T"
Al 0.570 -4.100 3.685
Al 2.306 -1.265 -4.878
Al 1.390 -3.541 -0.890
Al 5.274 -4.984 -5.508
Al 3.538 -7.819 3.056
Al 4.454 -5.543 -0.932
Y 0.250 -3.397 -3.819
Y 2.438 -5.332 1.474
Y -0.717 -4.977 0.952
Y 3.405 -3.753 -3.297
Y 1.172 -1.759 1.641
Y 1.871 -0.616 -1.810
Y 1.223 -6.532 -1.914
Y 3.456 -5.508 5.126
Y 5.657 -1.912 -5.735
Y 4.621 -2.552 0.092
```

Summary:
N(E_F) ... 27.63 states/eV/cell
Formation energy ... -301 meV per atom

---

13.
Density functional theory data (GGA-PBE) for a geometry-optimized Y4Al structure.

extended XYZ file:
```
10
Lattice="0.000 5.589 5.589 5.589 0.000 5.589 5.589 5.589 0.000" Properties=species:S:1:pos:R:3 pbc="T T T"
Y 9.989 9.989 9.989
Y 9.989 6.778 6.778
Y 6.778 6.778 9.989
Y 3.984 7.194 7.194
Y 3.984 3.984 3.984
Y 6.778 9.989 6.778
Y 7.194 7.194 3.984
Y 7.194 3.984 7.194
Al 5.589 5.589 5.589
Al 8.383 8.383 8.383
```

Summary:
N(E_F) ... 18.66 states/eV/cell
Formation energy ... 460 meV per atom

---

14.
Density functional theory data (GGA-PBE) for a geometry-optimized Y5Al3 structure.

extended XYZ file:
```
16
Lattice="-8.341 0.293 3.366 8.579 -1.432 2.311 0.829 8.875 -1.212" Properties=species:S:1:pos:R:3 pbc="T T T"
Al 0.181 -0.854 4.256
Al 0.063 -0.285 1.418
Al -1.032 4.307 0.906
Al 2.107 3.430 3.556
Al 5.012 6.393 1.071
Al -3.939 1.344 3.391
Y 4.767 3.437 1.967
Y -3.693 4.299 2.495
Y -5.084 7.797 1.776
Y 6.157 -0.060 2.686
Y -0.724 2.051 3.398
Y 1.798 5.685 1.064
Y -1.727 7.454 1.566
Y 2.801 0.282 2.896
Y 1.422 2.390 0.419
Y -0.347 5.347 4.043
```

Summary:
N(E_F) ... 14.79 states/eV/cell
Formation energy ... -336 meV per atom

---

15.
Density functional theory data (GGA-PBE) for a geometry-optimized Y3Al structure.

extended XYZ file:
```
4
Lattice="-9.264 5.119 -1.728 -10.507 2.137 -0.180 -9.376 4.868 1.844" Properties=species:S:1:pos:R:3 pbc="T T T"
Y -21.524 8.952 -0.048
Y -14.574 6.062 -0.032
Y -7.624 3.171 -0.017
Al 0.000 0.000 0.000
```

Summary:
N(E_F) ... 4.96 states/eV/cell
Formation energy ... -70 meV per atom

---

16.
Density functional theory data (GGA-PBE) for a geometry-optimized Y5Al3 structure.

extended XYZ file:
```
16
Lattice="-5.013 5.622 2.034 -1.198 1.656 -7.530 -2.249 -8.347 2.565" Properties=species:S:1:pos:R:3 pbc="T T T"
Y 0.000 0.000 0.000
Y -3.106 3.639 -2.748
Y -4.223 -2.906 2.704
Y -3.314 -3.720 -2.962
Y -5.628 -1.175 -0.734
Y -1.909 -5.452 0.477
Y -4.238 1.837 -5.635
Y -5.147 2.651 0.030
Y -2.833 0.106 -2.197
Y -6.552 4.383 -3.408
Al -5.783 1.285 -2.840
Al -2.677 -2.354 -0.092
Al -1.350 1.707 -4.429
Al -4.862 5.571 -1.067
Al -2.046 2.332 -0.139
Al -4.166 4.946 -5.357
```

Summary:
N(E_F) ... 14.28 states/eV/cell
Formation energy ... -330 meV per atom

---

17.
Density functional theory data (GGA-PBE) for a geometry-optimized YbYAl4 structure.

extended XYZ file:
```
6
Lattice="-2.693 3.644 3.240 -4.413 2.760 -1.984 -5.106 -1.189 1.883" Properties=species:S:1:pos:R:3 pbc="T T T"
Yb 0.000 0.000 0.000
Y -3.053 1.304 0.785
Al -5.079 3.854 1.020
Al -5.425 1.879 2.954
Al -6.286 1.437 0.341
Al -7.633 3.259 1.962
```

Summary:
N(E_F) ... 15.54 states/eV/cell
Formation energy ... -481 meV per atom

---

18.
Density functional theory data (GGA-PBE) for a geometry-optimized YAlZn2 structure.

extended XYZ file:
```
4
Lattice="9.199 0.048 0.029 8.603 3.258 0.029 8.603 1.598 2.839" Properties=species:S:1:pos:R:3 pbc="T T T"
Y 19.804 3.678 2.172
Zn 26.181 4.862 2.872
Zn 13.426 2.494 1.473
Al 6.601 1.226 0.724
```

Summary:
N(E_F) ... 1.75 states/eV/cell
Formation energy ... 58 meV per atom

---

19.
Density functional theory data (GGA-PBE) for a geometry-optimized YAl2Zn structure.

extended XYZ file:
```
4
Lattice="-9.374 1.872 -0.952 -9.416 0.401 1.856 -8.781 3.503 1.701" Properties=species:S:1:pos:R:3 pbc="T T T"
Y -6.893 1.444 0.651
Zn -20.678 4.332 1.953
Al -0.275 0.058 0.026
Al -13.510 2.830 1.276
```

Summary:
N(E_F) ... 3.51 states/eV/cell
Formation energy ... 47 meV per atom

---

20.
Density functional theory data (GGA-PBE) for a geometry-optimized Y2AlZn structure.

extended XYZ file:
```
4
Lattice="4.983 -0.005 -0.001 3.662 3.379 -0.001 1.346 0.526 6.071" Properties=species:S:1:pos:R:3 pbc="T T T"
Y 1.351 0.527 6.060
Y 4.990 1.948 3.046
Zn 7.493 2.925 4.552
Al 2.498 0.975 1.517
```

Summary:
N(E_F) ... 2.63 states/eV/cell
Formation energy ... -174 meV per atom

---

21.
Density functional theory data (GGA-PBE) for a geometry-optimized Y2AlZn structure.

extended XYZ file:
```
4
Lattice="-4.779 0.335 7.824 -1.580 -0.932 8.989 -2.065 2.640 8.540" Properties=species:S:1:pos:R:3 pbc="T T T"
Y -8.415 2.041 25.325
Y -4.221 1.024 12.704
Zn -2.106 0.511 6.338
Al -6.318 1.532 19.015
```

Summary:
N(E_F) ... 2.77 states/eV/cell
Formation energy ... -175 meV per atom

---

22.
Density functional theory data (GGA-PBE) for a geometry-optimized YAlZn2 structure.

extended XYZ file:
```
4
Lattice="-1.148 -1.766 2.608 0.292 -2.824 -1.784 6.432 -0.787 2.298" Properties=species:S:1:pos:R:3 pbc="T T T"
Y 4.429 -2.889 2.147
Zn 0.317 -0.039 0.113
Zn 1.144 -2.487 0.973
Al 2.902 -0.355 1.037
```

Summary:
N(E_F) ... 2.18 states/eV/cell
Formation energy ... -189 meV per atom

---

23.
Density functional theory data (GGA-PBE) for a geometry-optimized Y2Al3Zn5 structure.

extended XYZ file:
```
10
Lattice="4.189 0.000 0.000 0.000 4.189 0.000 0.000 0.000 10.680" Properties=species:S:1:pos:R:3 pbc="T T T"
Y 2.094 0.000 2.651
Y 0.000 2.094 8.029
Al 2.094 0.000 6.885
Al 0.000 2.094 3.795
Al 0.000 0.000 5.340
Zn 2.094 2.094 0.000
Zn 0.000 0.000 0.000
Zn 2.094 0.000 9.298
Zn 0.000 2.094 1.382
Zn 2.094 2.094 5.340
```

Summary:
N(E_F) ... 4.70 states/eV/cell
Formation energy ... -329 meV per atom

---

24.
Density functional theory data (GGA-PBE) for a geometry-optimized Y2AlZn structure.

extended XYZ file:
```
4
Lattice="-2.430 0.658 2.233 -2.277 -1.342 -2.082 1.198 -7.469 3.504" Properties=species:S:1:pos:R:3 pbc="T T T"
Y 1.152 -7.181 3.369
Y -2.001 -2.541 1.107
Zn 0.646 -4.025 1.888
Al -1.509 -5.609 2.546
```

Summary:
N(E_F) ... 1.84 states/eV/cell
Formation energy ... -179 meV per atom